DFT (PBE-GGA) results for an optimized crystal structure of InOsAu2.

a = 2.9095 Å, b = 4.0744 Å, c = 5.9658 Å
α = 90.00°, β = 90.12°, γ = 90.00°
Closest atoms and distances in Å follow each position.
Fractional coordinates of all 4 atoms:
In1 0.0000 0.0000 0.0000  4 Os 2.85, 6 Au 2.86-3.11, 2 In 2.91
Os1 0.5003 0.5000 0.2290  4 In 2.85, 2 Os 2.91, 6 Au 2.91-3.00
Au1 0.0008 0.0000 0.4791  2 In 2.86-3.11, 6 Au 2.90-2.91, 4 Os 2.91-2.92
Au2 0.5009 0.5000 0.7264  6 Au 2.90-2.91, 2 Os 2.97-3.00, 4 In 2.99

Computed properties:
* E: -4.725 eV per atom
* energy of formation from the pure elements: 157 kJ/mol of formula units